Below is a geometry-optimized KLaCoO3 structure, with properties calculated at the GGA+U level.

Results
For the total energy, the calculation gives -76.410 eV per cell. For the density, the calculation gives 4.58 g/cm³. The value obtained for the total magnetic moment is 2.997 μB per formula unit.

extended XYZ file:
```
12
Lattice="-3.0689 -3.4575 -3.8714 -0.0318 -5.2719 -2.9268 -4.8011 -4.1333 7.4974" Properties=species:S:1:pos:R:3 pbc="T T T"
Co -2.6367 -5.0772 -1.2749
Co -5.2652 -7.7855 1.9742
K -3.4851 -7.4657 -3.1350
K -4.4167 -5.3969 3.8343
La 0.0000 0.0000 0.0000
La -2.4006 -2.0667 3.7487
O -1.5674 -3.6761 -2.0216
O -1.3565 -1.4732 1.5318
O -3.2142 -5.0939 0.5500
O -4.6877 -7.7688 0.1493
O -6.5453 -11.3895 -0.8325
O -6.3344 -9.1866 2.7209
```